{
  "formula": "Li2NiSnO4",
  "functional": "PBE with a Hubbard U",
  "state": "optimized geometry",
  "magmom_total_mub_per_fu": 2.0,
  "de_polymorph_ev_per_atom": 0.000,
  "total_energy_ev_per_atom": -5.446,
  "crystal_system": "monoclinic",
  "lattice_angstrom": [[5.233, 0.000, 0.000], [0.000, 3.098, 0.000], [-1.698, 0.000, 4.987]],
  "species": ["Li", "Li", "Ni", "Sn", "O", "O", "O", "O"],
  "fractional_positions": [[0.000, 0.000, 0.000], [0.000, 0.500, 0.500], [0.500, 0.000, 0.500], [0.500, 0.500, 0.000], [0.262, 0.000, 0.760], [0.272, 0.500, 0.253], [0.728, 0.500, 0.747], [0.738, 0.000, 0.240]]
}